[1]
An optimized crystal structure of SrCa2Zn, computed with PBE.

a = 4.738 Å, b = 5.317 Å, c = 5.609 Å
α = 90.00°, β = 90.00°, γ = 90.00°
Fractional coordinates of all 4 atoms:
Sr 0.500 0.000 0.500
Zn 0.000 0.500 0.500
Ca 0.000 0.000 0.000
Ca 0.500 0.500 0.000

## Properties
**Crystal system**: orthorhombic
**Calculated formation energy**: 0.04 eV/atom

[2]
An optimized crystal structure of SiIr2Br, computed with PBE.

a = 5.219 Å, b = 5.219 Å, c = 5.219 Å
α = 138.21°, β = 138.21°, γ = 60.58°
Fractional coordinates of all 4 atoms:
Br 0.750 0.250 0.500
Ir 0.000 0.000 0.000
Ir 0.250 0.750 0.500
Si 0.500 0.500 0.000

## Properties
**Crystal system**: tetragonal
**Energy relative to the lowest polymorph listed for this composition**: 3.31 eV/f.u.

[3]
An optimized crystal structure of PmEr3Cd, computed with PBE.

a = 6.376 Å, b = 9.845 Å, c = 9.845 Å
α = 84.35°, β = 100.62°, γ = 100.62°
Fractional coordinates of all 20 atoms:
Pm 0.001 0.601 0.209
Pm 0.499 0.791 0.399
Pm 0.999 0.399 0.791
Pm 0.501 0.209 0.601
Er 0.628 0.375 0.994
Er 0.872 0.006 0.625
Er 0.372 0.625 0.006
Er 0.128 0.994 0.375
Er 0.871 0.735 0.867
Er 0.629 0.133 0.265
Er 0.129 0.265 0.133
Er 0.371 0.867 0.735
Er 0.532 0.460 0.333
Er 0.968 0.667 0.540
Er 0.468 0.540 0.667
Er 0.032 0.333 0.460
Cd 0.250 0.131 0.869
Cd 0.750 0.869 0.131
Cd 0.250 0.911 0.089
Cd 0.750 0.089 0.911

## Properties
**Crystal system**: monoclinic
**Calculated formation energy**: -0.02 eV/atom
**Energy relative to the lowest polymorph listed for this composition**: 0.43 eV/f.u.

Summary of DOS at the Fermi energy in states/eV/atom
1.43, 0.61, 1.50
(order as listed above)